No. 1
RuRh2F2 | PBE-GGA | relaxed

uncorrected formation energy = 0.18 eV/atom
distance to the lowest polymorph of the same formula = 34.5 kJ/mol of atoms
raw total energy = -5.368 eV/atom

a b c (Å): 7.1161 7.1161 2.5619
angles (deg): 90.00 90.00 90.00
Space group P4/mbm (No. 127)
Inequivalent atoms, fractional coordinates:
Ru  0.0000  0.0000  0.0000 [2 per cell]
Rh  0.1817  0.3183  0.0000 [4 per cell]
F  0.1208  0.6208  0.5000 [4 per cell]

No. 2
Tb2SmInC | PBE-GGA | relaxed

energy of formation = -0.44 eV per atom
raw total energy = -5.633 eV/atom

a b c (Å): 4.9577 4.9577 5.0534
angles (deg): 90.00 90.00 90.00
Space group P4/mmm (No. 123)
Inequivalent atoms, fractional coordinates:
Tb  0.0000  0.5000  0.0000 [2 per cell]
Sm  0.0000  0.0000  0.5000 [1 per cell]
In  0.5000  0.5000  0.5000 [1 per cell]
C  0.0000  0.0000  0.0000 [1 per cell]

No. 3
LaH2RuO6 | PBE-GGA | relaxed

raw total energy = -6.513 eV/atom

a b c (Å): 4.6620 5.4861 5.4953
angles (deg): 71.56 67.16 77.96
Space group P1 (No. 1)
Inequivalent atoms, fractional coordinates:
La  0.0000  0.0000  0.0000 [1 per cell]
H  0.4336  0.3828  0.9678 [1 per cell]
H  0.9226  0.6981  0.6855 [1 per cell]
Ru  0.4844  0.5042  0.4541 [1 per cell]
O  0.1130  0.7215  0.7118 [1 per cell]
O  0.1834  0.3007  0.5612 [1 per cell]
O  0.4284  0.7198  0.1413 [1 per cell]
O  0.5071  0.2503  0.8661 [1 per cell]
O  0.7048  0.7087  0.4959 [1 per cell]
O  0.8032  0.2976  0.2804 [1 per cell]

No. 4
TbCd6 | PBE-GGA | relaxed

distance to the lowest polymorph of the same formula = 0.0 kJ/mol of atoms
energy of formation = -0.08 eV per atom
raw total energy = -1.522 eV/atom

a b c (Å): 6.0759 6.0759 9.1784
angles (deg): 90.00 90.00 90.00
Space group P4/nbm (No. 125, origin choice 2)
Inequivalent atoms, fractional coordinates:
Tb  0.2500  0.7500  0.0000 [2 per cell]
Cd  0.0761  0.5761  0.3579 [8 per cell]
Cd  0.2500  0.2500  0.1513 [4 per cell]

No. 5
In3AsO7 | PBE-GGA | relaxed

uncorrected formation energy = -1.44 eV/atom
raw total energy = -5.767 eV/atom

a b c (Å): 7.2258 10.1483 7.1249
angles (deg): 90.00 90.00 90.00
Space group C222_1 (No. 20)
Inequivalent atoms, fractional coordinates:
In  0.0211  0.0000  0.0000 [4 per cell]
In  0.2382  0.2649  0.7524 [8 per cell]
As  0.0018  0.5000  0.0000 [4 per cell]
O  0.0000  0.1286  0.2500 [4 per cell]
O  0.0000  0.1401  0.7500 [4 per cell]
O  0.0000  0.4495  0.7500 [4 per cell]
O  0.1833  0.3734  0.0249 [8 per cell]
O  0.1917  0.3766  0.4783 [8 per cell]

No. 6
Sm2TmO | PBE-GGA | relaxed

uncorrected formation energy = -0.82 eV/atom
distance to the lowest polymorph of the same formula = 30.7 kJ/mol of atoms
raw total energy = -5.542 eV/atom

a b c (Å): 3.2277 3.2277 8.8714
angles (deg): 90.00 90.00 90.00
Space group P4/mmm (No. 123)
Inequivalent atoms, fractional coordinates:
Sm  0.0000  0.0000  0.1736 [2 per cell]
Tm  0.5000  0.5000  0.5000 [1 per cell]
O  0.5000  0.5000  0.0000 [1 per cell]

No. 7
MgBe2Te | PBE-GGA | relaxed

uncorrected formation energy = 0.52 eV/atom
distance to the lowest polymorph of the same formula = 32.1 kJ/mol of atoms
raw total energy = -2.526 eV/atom

a b c (Å): 6.3904 6.3904 8.8573
angles (deg): 90.00 90.00 90.00
Space group I-42d (No. 122)
Inequivalent atoms, fractional coordinates:
Mg  0.0000  0.0000  0.0000 [4 per cell]
Be  0.2198  0.2500  0.6250 [8 per cell]
Te  0.0000  0.0000  0.5000 [4 per cell]

No. 8
Tb3Ag2Pb | PBE-GGA | relaxed

energy of formation = -0.35 eV per atom
raw total energy = -4.233 eV/atom

a b c (Å): 5.2192 15.9383 3.7333
angles (deg): 90.00 90.00 90.00
Space group Cmmm (No. 65)
Inequivalent atoms, fractional coordinates:
Tb  0.0000  0.0000  0.0000 [2 per cell]
Tb  0.0000  0.3280  0.0000 [4 per cell]
Ag  0.0000  0.1718  0.5000 [4 per cell]
Pb  0.0000  0.5000  0.5000 [2 per cell]

No. 9
BeNiHg | PBE-GGA | relaxed

distance to the lowest polymorph of the same formula = 23.0 kJ/mol of atoms
energy of formation = 0.32 eV per atom
raw total energy = -2.945 eV/atom

a b c (Å): 2.8743 2.8743 6.0157
angles (deg): 90.00 90.00 120.00
Space group P3m1 (No. 156)
Inequivalent atoms, fractional coordinates:
Be  0.0000  0.0000  0.0000 [1 per cell]
Ni  0.3333  0.6667  0.7600 [1 per cell]
Hg  0.6667  0.3333  0.3777 [1 per cell]

No. 10
Be3TePb | PBE-GGA | relaxed

uncorrected formation energy = 1.15 eV/atom
distance to the lowest polymorph of the same formula = 8.6 kJ/mol of atoms
raw total energy = -2.453 eV/atom

a b c (Å): 4.7815 4.7815 4.7815
angles (deg): 90.00 90.00 90.00
Space group Pm-3m (No. 221)
Inequivalent atoms, fractional coordinates:
Be  0.0000  0.0000  0.5000 [3 per cell]
Te  0.0000  0.0000  0.0000 [1 per cell]
Pb  0.5000  0.5000  0.5000 [1 per cell]

No. 11
RbLi3Cr | PBE-GGA | relaxed

distance to the lowest polymorph of the same formula = 0.0 kJ/mol of atoms
energy of formation = 0.58 eV per atom
raw total energy = -2.689 eV/atom

a b c (Å): 5.5314 5.5314 5.5314
angles (deg): 90.00 90.00 90.00
Space group Pm-3m (No. 221)
Inequivalent atoms, fractional coordinates:
Rb  0.0000  0.0000  0.0000 [1 per cell]
Li  0.0000  0.5000  0.5000 [3 per cell]
Cr  0.5000  0.5000  0.5000 [1 per cell]

No. 12
Th3Cd2Hg8 | PBE-GGA | relaxed

energy of formation = 0.05 eV per atom
raw total energy = -1.990 eV/atom

a b c (Å): 6.0406 6.0406 33.3947
angles (deg): 90.00 90.00 120.00
Space group R-3m (No. 166, hexagonal axes)
Inequivalent atoms, fractional coordinates:
Th  0.0000  0.0000  0.0000 [3 per cell]
Th  0.0000  0.0000  0.1876 [6 per cell]
Cd  0.0000  0.0000  0.3650 [6 per cell]
Hg  0.0000  0.0000  0.2824 [6 per cell]
Hg  0.9997  0.4999  0.2292 [18 per cell]

No. 13
EuSb2Pb | PBE-GGA | relaxed

uncorrected formation energy = -0.31 eV/atom
distance to the lowest polymorph of the same formula = 16.0 kJ/mol of atoms
raw total energy = -5.868 eV/atom

a b c (Å): 4.4286 4.4286 23.7033
angles (deg): 90.00 90.00 120.00
Space group R-3m (No. 166, hexagonal axes)
Inequivalent atoms, fractional coordinates:
Eu  0.0000  0.0000  0.0000 [3 per cell]
Sb  0.0000  0.0000  0.2496 [6 per cell]
Pb  0.0000  0.0000  0.5000 [3 per cell]

No. 14
MgTeF | PBE-GGA | relaxed

uncorrected formation energy = -1.92 eV/atom
distance to the lowest polymorph of the same formula = 0.0 kJ/mol of atoms
raw total energy = -4.121 eV/atom

a b c (Å): 3.2482 6.6688 7.3000
angles (deg): 73.62 78.44 89.18
Space group P-1 (No. 2)
Inequivalent atoms, fractional coordinates:
Mg  0.2335  0.1968  0.0221 [2 per cell]
Te  0.1636  0.4825  0.2648 [2 per cell]
F  0.3083  0.9709  0.8708 [2 per cell]

No. 15
Zn2RuW | PBE-GGA | relaxed

distance to the lowest polymorph of the same formula = 34.5 kJ/mol of atoms
energy of formation = 0.38 eV per atom
raw total energy = -5.816 eV/atom

a b c (Å): 4.6205 4.6205 2.7292
angles (deg): 90.00 90.00 90.00
Space group P4/mmm (No. 123)
Inequivalent atoms, fractional coordinates:
Zn  0.0000  0.5000  0.0000 [2 per cell]
Ru  0.0000  0.0000  0.5000 [1 per cell]
W  0.5000  0.5000  0.5000 [1 per cell]

No. 16
BeZnTc4 | PBE-GGA | relaxed

energy of formation = 0.56 eV per atom
raw total energy = -7.183 eV/atom

a b c (Å): 7.1737 7.1737 7.1737
angles (deg): 90.00 90.00 90.00
Space group F-43m (No. 216)
Inequivalent atoms, fractional coordinates:
Be  0.0000  0.0000  0.0000 [4 per cell]
Zn  0.2500  0.2500  0.2500 [4 per cell]
Tc  0.1251  0.1251  0.6251 [16 per cell]

No. 17
PmTmMg4 | PBE-GGA | relaxed

distance to the lowest polymorph of the same formula = 0.5 kJ/mol of atoms
energy of formation = -0.07 eV per atom
raw total energy = -2.671 eV/atom

a b c (Å): 8.5563 8.5563 8.5563
angles (deg): 90.00 90.00 90.00
Space group F-43m (No. 216)
Inequivalent atoms, fractional coordinates:
Pm  0.0000  0.0000  0.0000 [4 per cell]
Tm  0.2500  0.2500  0.7500 [4 per cell]
Mg  0.1249  0.1249  0.3751 [16 per cell]

No. 18
NdTl2Zn3F12 | PBE-GGA | relaxed

uncorrected formation energy = -2.50 eV/atom
raw total energy = -4.483 eV/atom

a b c (Å): 7.5986 7.5986 15.7874
angles (deg): 90.00 90.00 120.00
Space group R-3m (No. 166, hexagonal axes)
Inequivalent atoms, fractional coordinates:
Nd  0.0000  0.0000  0.0000 [3 per cell]
Tl  0.0000  0.0000  0.3915 [6 per cell]
Zn  0.0000  0.5000  0.5000 [9 per cell]
F  0.0496  0.5248  0.3729 [18 per cell]
F  0.0938  0.5469  0.7961 [18 per cell]

No. 19
Rb2PSBr5 | PBE-GGA | relaxed

uncorrected formation energy = -0.77 eV/atom
raw total energy = -2.969 eV/atom

a b c (Å): 7.4398 7.4398 10.5424
angles (deg): 90.00 90.00 90.00
Space group I4mm (No. 107)
Inequivalent atoms, fractional coordinates:
Rb  0.0000  0.5000  0.0000 [4 per cell]
P  0.0000  0.0000  0.2249 [2 per cell]
S  0.0000  0.0000  0.0325 [2 per cell]
Br  0.0000  0.0000  0.4734 [2 per cell]
Br  0.2344  0.2344  0.2499 [8 per cell]

No. 20
BiTe2I | PBE-GGA | relaxed

uncorrected formation energy = 0.17 eV/atom
distance to the lowest polymorph of the same formula = 32.2 kJ/mol of atoms
raw total energy = -2.754 eV/atom

a b c (Å): 3.3760 3.3760 43.3644
angles (deg): 90.00 90.00 120.00
Space group R-3m (No. 166, hexagonal axes)
Inequivalent atoms, fractional coordinates:
Bi  0.0000  0.0000  0.0000 [3 per cell]
Te  0.0000  0.0000  0.0729 [6 per cell]
I  0.0000  0.0000  0.5000 [3 per cell]